VASP calculation (PBE) on an optimized crystal structure of YZr2PbN.

Unit cell a=4.502 b=4.502 c=5.003 alpha=90.00 beta=90.00 gamma=90.00
Fractional coordinates of all 5 atoms:
Pb (0.500, 0.500, 0.500)
Y (0.000, 0.000, 0.500)
Zr (0.000, 0.500, 0.000)
Zr (0.500, 0.000, 0.000)
N (0.000, 0.000, 0.000)

- formation energy without anion corrections (eV per atom) = -0.78
- space group = P4/mmm (123)

=====

VASP calculation (PBE) on an optimized crystal structure of ZnPbN3.

Unit cell a=4.338 b=4.338 c=4.338 alpha=90.00 beta=90.00 gamma=90.00
Site moments in Bohr magnetons follow the coordinates.
Fractional coordinates of all 5 atoms:
Pb (0.000, 0.000, 0.000)  -0.01
Zn (0.500, 0.500, 0.500)  -0.08
N (0.000, 0.500, 0.000)  0.94
N (0.000, 0.000, 0.500)  0.66
N (0.500, 0.000, 0.000)  0.88

- formation energy without anion corrections (eV per atom) = 2.30
- space group = Pm-3m (221)

=====

VASP calculation (PBE) on an optimized crystal structure of ZnPb2N2.

Unit cell a=3.653 b=6.755 c=11.533 alpha=90.00 beta=90.00 gamma=90.00
Fractional coordinates of all 10 atoms:
Zn (0.500, 0.610, 0.500)
Zn (0.000, 0.390, 0.000)
Pb (0.500, 0.274, 0.739)
Pb (0.500, 0.274, 0.261)
Pb (0.000, 0.726, 0.761)
Pb (0.000, 0.726, 0.239)
N (0.500, 0.598, 0.341)
N (0.500, 0.598, 0.659)
N (0.000, 0.402, 0.159)
N (0.000, 0.402, 0.841)

- offset from the most stable computed form (kJ/mol of atoms) = 1.77
- formation energy without anion corrections (eV per atom) = 0.37
- space group = Pmmn (59)

=====

VASP calculation (PBE) on an optimized crystal structure of ZnPbN3.

Unit cell a=4.045 b=4.045 c=4.045 alpha=90.00 beta=90.00 gamma=90.00
Site moments in Bohr magnetons follow the coordinates.
Fractional coordinates of all 5 atoms:
Pb (0.500, 0.500, 0.500)  0.05
Zn (0.000, 0.000, 0.000)  0.10
N (0.000, 0.500, 0.000)  1.09
N (0.000, 0.000, 0.500)  0.87
N (0.500, 0.000, 0.000)  0.96

- formation energy without anion corrections (eV per atom) = 1.67
- space group = Pm-3m (221)

=====

VASP calculation (PBE) on an optimized crystal structure of ZnPb2N.

Unit cell a=6.276 b=6.276 c=6.813 alpha=62.58 beta=62.58 gamma=90.00
Fractional coordinates of all 8 atoms:
Pb (0.566, 0.125, 0.250)
Pb (0.184, 0.625, 0.250)
Pb (0.375, 0.434, 0.750)
Pb (0.875, 0.816, 0.750)
Zn (0.000, 0.000, 0.000)
Zn (0.750, 0.250, 0.500)
N (0.500, 0.500, 0.000)
N (0.250, 0.750, 0.500)

- offset from the most stable computed form (kJ/mol of atoms) = 0.00
- formation energy without anion corrections (eV per atom) = 0.56
- space group = I-42d (122)

=====

VASP calculation (PBE) on an optimized crystal structure of Zn3PbN.

Unit cell a=5.568 b=5.568 c=5.568 alpha=90.00 beta=90.00 gamma=90.00
Site moments in Bohr magnetons follow the coordinates.
Fractional coordinates of all 5 atoms:
Pb (0.000, 0.000, 0.000)  0.00
Zn (0.000, 0.500, 0.000)  0.00
Zn (0.000, 0.000, 0.500)  0.00
Zn (0.500, 0.000, 0.000)  0.00
N (0.500, 0.500, 0.500)  1.68

- offset from the most stable computed form (kJ/mol of atoms) = 97.60
- formation energy without anion corrections (eV per atom) = 1.46
- space group = Pm-3m (221)

=====

VASP calculation (PBE) on an optimized crystal structure of ZnPb2N2.

Unit cell a=3.673 b=3.673 c=9.271 alpha=90.00 beta=90.00 gamma=120.00
Fractional coordinates of all 5 atoms:
Zn (0.000, 0.000, 0.500)
Pb (0.667, 0.333, 0.187)
Pb (0.333, 0.667, 0.813)
N (0.000, 0.000, 0.698)
N (0.000, 0.000, 0.302)

- offset from the most stable computed form (kJ/mol of atoms) = 0.00
- formation energy without anion corrections (eV per atom) = 0.35
- space group = P-3m1 (164)

=====

VASP calculation (PBE) on an optimized crystal structure of ZnPb2N2.

Unit cell a=4.344 b=4.344 c=5.965 alpha=68.64 beta=68.64 gamma=90.00
Fractional coordinates of all 5 atoms:
Pb (0.340, 0.340, 0.320)
Pb (0.660, 0.660, 0.680)
Zn (0.000, 0.000, 0.000)
N (0.750, 0.250, 0.500)
N (0.250, 0.750, 0.500)

- offset from the most stable computed form (kJ/mol of atoms) = 57.39
- formation energy without anion corrections (eV per atom) = 0.95
- space group = I4/mmm (139)

=====

VASP calculation (PBE) on an optimized crystal structure of Zn2PbN2.

Unit cell a=5.976 b=5.976 c=5.976 alpha=112.36 beta=112.36 gamma=103.85
Fractional coordinates of all 10 atoms:
Zn (0.362, 0.862, 0.225)
Zn (0.638, 0.138, 0.775)
Zn (0.862, 0.638, 0.500)
Zn (0.138, 0.362, 0.500)
Pb (0.750, 0.750, 0.000)
Pb (0.250, 0.250, 0.000)
N (0.839, 0.339, 0.177)
N (0.161, 0.661, 0.823)
N (0.339, 0.161, 0.500)
N (0.661, 0.839, 0.500)

- formation energy without anion corrections (eV per atom) = 0.49
- space group = I4/mcm (140)

=====

VASP calculation (PBE) on an optimized crystal structure of ZnPb2N2.

Unit cell a=8.428 b=8.428 c=3.280 alpha=90.00 beta=90.00 gamma=90.00
Fractional coordinates of all 10 atoms:
Pb (0.239, 0.739, 0.000)
Pb (0.739, 0.761, 0.000)
Pb (0.761, 0.261, 0.000)
Pb (0.261, 0.239, 0.000)
Zn (0.000, 0.000, 0.000)
Zn (0.500, 0.500, 0.000)
N (0.048, 0.548, 0.500)
N (0.548, 0.952, 0.500)
N (0.952, 0.452, 0.500)
N (0.452, 0.048, 0.500)

- offset from the most stable computed form (kJ/mol of atoms) = 10.36
- formation energy without anion corrections (eV per atom) = 0.46
- space group = P4/mbm (127)

=====

VASP calculation (PBE) on an optimized crystal structure of ZnPb2N.

Unit cell a=4.901 b=4.901 c=4.901 alpha=60.00 beta=60.00 gamma=60.00
Fractional coordinates of all 4 atoms:
Pb (0.250, 0.250, 0.250)
Pb (0.750, 0.750, 0.750)
Zn (0.500, 0.500, 0.500)
N (0.000, 0.000, 0.000)

- offset from the most stable computed form (kJ/mol of atoms) = 37.80
- formation energy without anion corrections (eV per atom) = 0.95
- space group = Fm-3m (225)

=====

VASP calculation (PBE) on an optimized crystal structure of Zn3PbN.

Unit cell a=4.370 b=4.370 c=4.370 alpha=90.00 beta=90.00 gamma=90.00
Fractional coordinates of all 5 atoms:
Pb (0.500, 0.500, 0.500)
Zn (0.000, 0.500, 0.000)
Zn (0.000, 0.000, 0.500)
Zn (0.500, 0.000, 0.000)
N (0.000, 0.000, 0.000)

- offset from the most stable computed form (kJ/mol of atoms) = 0.00
- formation energy without anion corrections (eV per atom) = 0.45
- space group = Pm-3m (221)